[1]
Here is a relaxed structure of GaFeCuIr from OQMD. Energies are from PBE-GGA.

## Properties
* electronic total energy: -6.119 eV/atom
* distance to the lowest polymorph of the same formula: 0.0 meV/atom

Structure (CIF):
```
data_GaFeCuIr
_chemical_formula_sum 'Ga1 Fe1 Cu1 Ir1'
_space_group_name_H-M_alt 'P 1'
_space_group_IT_number 1
_cell_length_a 4.228
_cell_length_b 4.228
_cell_length_c 4.228
_cell_angle_alpha 60.00
_cell_angle_beta 60.00
_cell_angle_gamma 60.00
loop_
_space_group_symop_operation_xyz
'x,y,z'
loop_
_atom_site_label
_atom_site_fract_x
_atom_site_fract_y
_atom_site_fract_z
_atom_site_occupancy
Ir1 0.250 0.250 0.250 1
Cu1 0.750 0.750 0.750 1
Fe1 0.500 0.500 0.500 1
Ga1 0.000 0.000 0.000 1
```

***

[2]
Here is a relaxed structure of LaGa2FeCu from OQMD. Energies are from PBE-GGA.

## Properties
* electronic total energy: -4.908 eV/atom

Structure (CIF):
```
data_LaGa2FeCu
_chemical_formula_sum 'La2 Ga4 Fe2 Cu2'
_space_group_name_H-M_alt 'P 1'
_space_group_IT_number 1
_cell_length_a 4.402
_cell_length_b 4.402
_cell_length_c 9.518
_cell_angle_alpha 90.00
_cell_angle_beta 90.00
_cell_angle_gamma 90.00
loop_
_space_group_symop_operation_xyz
'x,y,z'
loop_
_atom_site_label
_atom_site_fract_x
_atom_site_fract_y
_atom_site_fract_z
_atom_site_occupancy
Ga1 0.000 0.000 0.500 1
Fe1 0.000 0.500 0.615 1
Fe2 0.500 0.000 0.385 1
Cu1 0.500 0.500 0.000 1
Cu2 0.000 0.000 0.000 1
Ga2 0.500 0.000 0.132 1
La1 0.000 0.500 0.243 1
La2 0.500 0.000 0.757 1
Ga3 0.500 0.500 0.500 1
Ga4 0.000 0.500 0.868 1
```